[1]
# PBE-GGA KZrSc2Ir, optimized geometry
# ρ, kg/m3: 5398
# Formation energy from the elements, eV/atom: 1.5902
# DFT total energy, eV/atom: -4.64
data_KZrSc2Ir
_cell_length_a 4.986
_cell_length_b 4.986
_cell_length_c 5.103
_cell_angle_alpha 90.00
_cell_angle_beta 90.00
_cell_angle_gamma 90.00
_symmetry_space_group_name_H-M 'P 4/m m m'
_symmetry_Int_Tables_number 123
_symmetry_space_group_name_Hall '-P 4 2'
loop_
_atom_site_label
_atom_site_type_symbol
_atom_site_fract_x
_atom_site_fract_y
_atom_site_fract_z
K1 K 0.000 0.000 0.000
Zr1 Zr 0.000 0.000 0.500
Sc1 Sc 0.000 0.500 0.500
Ir1 Ir 0.500 0.500 0.000

[2]
# PBE-GGA KIr2Se, optimized geometry
# ρ, kg/m3: 11502
# ΔE_f (raw), kJ/mol of formula units: 307.8
# DFT total energy, eV/atom: -4.78
data_KIr2Se
_cell_length_a 2.929
_cell_length_b 4.950
_cell_length_c 10.008
_cell_angle_alpha 90.00
_cell_angle_beta 90.00
_cell_angle_gamma 90.00
_symmetry_space_group_name_H-M 'C m m m'
_symmetry_Int_Tables_number 65
_symmetry_space_group_name_Hall '-C 2 2'
loop_
_atom_site_label
_atom_site_type_symbol
_atom_site_fract_x
_atom_site_fract_y
_atom_site_fract_z
K1 K 0.000 0.000 0.000
Ir1 Ir 0.000 0.500 0.281
Se1 Se 0.000 0.000 0.500

Question: Which formula does entry 1 have?
Answer: KZrSc2Ir

Question: Which of these has the highest ρ?
Answer: KIr2Se